Record 1
# Y3MgIn2CuAu2, relaxed, DFT GGA-PBE
# E: -42.486 eV for the cell shown
data_Y3MgIn2CuAu2
_chemical_formula_sum 'Y3 Mg1 In2 Cu1 Au2'
_symmetry_space_group_name_H-M 'P 1'
_symmetry_Int_Tables_number 1
_symmetry_space_group_name_Hall 'P 1'
_cell_length_a 3.9264
_cell_length_b 7.7245
_cell_length_c 7.7245
_cell_angle_alpha 120.17
_cell_angle_beta 90.00
_cell_angle_gamma 90.00
loop_
_atom_site_label
_atom_site_type_symbol
_atom_site_fract_x
_atom_site_fract_y
_atom_site_fract_z
_atom_site_occupancy
Au1 Au 0.0000 0.6676 0.3435 1
Au2 Au 0.0000 0.3435 0.6676 1
Cu1 Cu 0.5000 0.9942 0.9942 1
In1 In 0.0000 0.9963 0.2441 1
In2 In 0.0000 0.2441 0.9963 1
Mg1 Mg 0.0000 0.7535 0.7535 1
Y1 Y 0.5000 0.5948 0.0023 1
Y2 Y 0.5000 0.4038 0.4038 1
Y3 Y 0.5000 0.0023 0.5948 1

Record 2
# LuGeAsO, relaxed, DFT GGA-PBE
# E: -49.417 eV for the cell shown
data_LuGeAsO
_chemical_formula_sum 'Lu2 Ge2 As2 O2'
_symmetry_space_group_name_H-M 'P 1'
_symmetry_Int_Tables_number 1
_symmetry_space_group_name_Hall 'P 1'
_cell_length_a 3.8693
_cell_length_b 3.8693
_cell_length_c 9.7216
_cell_angle_alpha 90.00
_cell_angle_beta 90.00
_cell_angle_gamma 90.00
loop_
_atom_site_label
_atom_site_type_symbol
_atom_site_fract_x
_atom_site_fract_y
_atom_site_fract_z
_atom_site_occupancy
As1 As 0.0000 0.5000 0.2863 1
As2 As 0.5000 0.0000 0.7137 1
Ge1 Ge 0.0000 0.0000 0.5000 1
Ge2 Ge 0.5000 0.5000 0.5000 1
Lu1 Lu 0.5000 0.0000 0.1072 1
Lu2 Lu 0.0000 0.5000 0.8928 1
O1 O 0.0000 0.0000 0.0000 1
O2 O 0.5000 0.5000 0.0000 1

Record 3
# Li4SnBiPd2, relaxed, DFT GGA-PBE
# E: -30.490 eV for the cell shown
data_Li4SnBiPd2
_chemical_formula_sum 'Li4 Sn1 Bi1 Pd2'
_symmetry_space_group_name_H-M 'P 1'
_symmetry_Int_Tables_number 1
_symmetry_space_group_name_Hall 'P 1'
_cell_length_a 4.5404
_cell_length_b 4.5404
_cell_length_c 6.4251
_cell_angle_alpha 90.00
_cell_angle_beta 90.00
_cell_angle_gamma 90.00
loop_
_atom_site_label
_atom_site_type_symbol
_atom_site_fract_x
_atom_site_fract_y
_atom_site_fract_z
_atom_site_occupancy
Bi1 Bi 0.0000 0.0000 0.5000 1
Li1 Li 0.0000 0.0000 0.0000 1
Li2 Li 0.0000 0.5000 0.2414 1
Li3 Li 0.5000 0.5000 0.5000 1
Li4 Li 0.5000 0.0000 0.7586 1
Pd1 Pd 0.5000 0.0000 0.2364 1
Pd2 Pd 0.0000 0.5000 0.7636 1
Sn1 Sn 0.5000 0.5000 0.0000 1

Record 4
# Nd3Fe, relaxed, DFT GGA-PBE
# E: -42.538 eV for the cell shown
data_Nd3Fe
_chemical_formula_sum 'Nd6 Fe2'
_symmetry_space_group_name_H-M 'P 1'
_symmetry_Int_Tables_number 1
_symmetry_space_group_name_Hall 'P 1'
_cell_length_a 7.0732
_cell_length_b 7.0732
_cell_length_c 5.2279
_cell_angle_alpha 90.00
_cell_angle_beta 90.00
_cell_angle_gamma 120.00
loop_
_atom_site_label
_atom_site_type_symbol
_atom_site_fract_x
_atom_site_fract_y
_atom_site_fract_z
_atom_site_occupancy
Fe1 Fe 0.6667 0.3333 0.2500 1
Fe2 Fe 0.3333 0.6667 0.7500 1
Nd1 Nd 0.1783 0.3567 0.2500 1
Nd2 Nd 0.6433 0.8217 0.2500 1
Nd3 Nd 0.1783 0.8217 0.2500 1
Nd4 Nd 0.8217 0.1783 0.7500 1
Nd5 Nd 0.3567 0.1783 0.7500 1
Nd6 Nd 0.8217 0.6433 0.7500 1

Record 5
# KNiTe2, relaxed, DFT GGA-PBE
# E: -29.116 eV for the cell shown
data_KNiTe2
_chemical_formula_sum 'K2 Ni2 Te4'
_symmetry_space_group_name_H-M 'P 1'
_symmetry_Int_Tables_number 1
_symmetry_space_group_name_Hall 'P 1'
_cell_length_a 6.8168
_cell_length_b 6.8168
_cell_length_c 6.8168
_cell_angle_alpha 109.98
_cell_angle_beta 109.98
_cell_angle_gamma 108.45
loop_
_atom_site_label
_atom_site_type_symbol
_atom_site_fract_x
_atom_site_fract_y
_atom_site_fract_z
_atom_site_occupancy
K1 K 0.2500 0.2500 0.0000 1
K2 K 0.7500 0.7500 0.0000 1
Ni1 Ni 0.7500 0.2500 0.5000 1
Ni2 Ni 0.2500 0.7500 0.5000 1
Te1 Te 0.8621 0.3621 0.2243 1
Te2 Te 0.3621 0.1379 0.5000 1
Te3 Te 0.6379 0.8621 0.5000 1
Te4 Te 0.1379 0.6379 0.7757 1

Record 6
# KDySeO, relaxed, DFT GGA-PBE
# E: -44.673 eV for the cell shown
data_KDySeO
_chemical_formula_sum 'K2 Dy2 Se2 O2'
_symmetry_space_group_name_H-M 'P 1'
_symmetry_Int_Tables_number 1
_symmetry_space_group_name_Hall 'P 1'
_cell_length_a 4.1125
_cell_length_b 4.1125
_cell_length_c 10.1097
_cell_angle_alpha 90.00
_cell_angle_beta 90.00
_cell_angle_gamma 90.00
loop_
_atom_site_label
_atom_site_type_symbol
_atom_site_fract_x
_atom_site_fract_y
_atom_site_fract_z
_atom_site_occupancy
Dy1 Dy 0.2500 0.2500 0.0981 1
Dy2 Dy 0.7500 0.7500 0.9019 1
K1 K 0.7500 0.2500 0.5000 1
K2 K 0.2500 0.7500 0.5000 1
O1 O 0.7500 0.2500 0.0000 1
O2 O 0.2500 0.7500 0.0000 1
Se1 Se 0.7500 0.7500 0.2703 1
Se2 Se 0.2500 0.2500 0.7297 1

Record 7
# TcAsNO, relaxed, DFT GGA-PBE
# E: -57.207 eV for the cell shown
data_TcAsNO
_chemical_formula_sum 'Tc2 As2 N2 O2'
_symmetry_space_group_name_H-M 'P 1'
_symmetry_Int_Tables_number 1
_symmetry_space_group_name_Hall 'P 1'
_cell_length_a 2.8837
_cell_length_b 5.8959
_cell_length_c 6.0704
_cell_angle_alpha 90.00
_cell_angle_beta 90.00
_cell_angle_gamma 90.00
loop_
_atom_site_label
_atom_site_type_symbol
_atom_site_fract_x
_atom_site_fract_y
_atom_site_fract_z
_atom_site_occupancy
As1 As 0.5000 0.0189 0.2226 1
As2 As 0.5000 0.5189 0.7774 1
N1 N 0.0000 0.8134 0.3113 1
N2 N 0.0000 0.3134 0.6887 1
O1 O 0.5000 0.4313 0.1751 1
O2 O 0.5000 0.9313 0.8249 1
Tc1 Tc 0.0000 0.4903 0.3954 1
Tc2 Tc 0.0000 0.9903 0.6046 1

Record 8
# OsBr4, relaxed, DFT GGA-PBE
# E: -73.477 eV for the cell shown
data_OsBr4
_chemical_formula_sum 'Os4 Br16'
_symmetry_space_group_name_H-M 'P 1'
_symmetry_Int_Tables_number 1
_symmetry_space_group_name_Hall 'P 1'
_cell_length_a 7.1032
_cell_length_b 7.1032
_cell_length_c 13.1516
_cell_angle_alpha 90.00
_cell_angle_beta 90.00
_cell_angle_gamma 115.25
loop_
_atom_site_label
_atom_site_type_symbol
_atom_site_fract_x
_atom_site_fract_y
_atom_site_fract_z
_atom_site_occupancy
Br1 Br 0.2569 0.2432 0.0284 1
Br2 Br 0.7568 0.7431 0.0284 1
Br3 Br 0.0090 0.4908 0.2253 1
Br4 Br 0.5092 0.9910 0.2253 1
Br5 Br 0.4899 0.5101 0.3029 1
Br6 Br 0.9900 0.0100 0.3029 1
Br7 Br 0.2624 0.7376 0.4508 1
Br8 Br 0.7624 0.2376 0.4509 1
Br9 Br 0.2432 0.2569 0.5284 1
Br10 Br 0.7431 0.7568 0.5284 1
Br11 Br 0.4908 0.0090 0.7253 1
Br12 Br 0.9910 0.5092 0.7253 1
Br13 Br 0.5101 0.4899 0.8029 1
Br14 Br 0.0100 0.9900 0.8029 1
Br15 Br 0.7376 0.2624 0.9508 1
Br16 Br 0.2376 0.7624 0.9509 1
Os1 Os 0.1262 0.3739 0.3769 1
Os2 Os 0.6261 0.8738 0.3769 1
Os3 Os 0.3739 0.1262 0.8769 1
Os4 Os 0.8738 0.6261 0.8769 1